First-principles (PBE) data for an optimized crystal structure of CsBaTe2N, as listed in Alexandria via LeMat-Bulk.

DOS(E_F) ... 5.38 states/eV/f.u.
Excess energy over the best structure of this formula in the dataset ... 0 meV/atom
Space-group type ... No. 123

Unit cell a=6.806 b=6.806 c=5.405 alpha=90.00 beta=90.00 gamma=90.00
Fractional coordinates of all 5 atoms:
1 Te 0.500 0.000 0.000
2 Ba 0.000 0.000 0.000
3 Te 0.000 0.500 0.000
4 Cs 0.500 0.500 0.500
5 N 0.000 0.000 0.500